Here is a relaxed Be2OsAu crystal from Alexandria. Energies are from PBE.

Cell and atoms, written as CIF:
```
data_Be2OsAu
_symmetry_space_group_name_H-M 'F -4 3 m'
_symmetry_Int_Tables_number 216
_symmetry_space_group_name_Hall 'F -4 2 3'
_cell_length_a 5.9523
_cell_length_b 5.9523
_cell_length_c 5.9523
_cell_angle_alpha 90.00
_cell_angle_beta 90.00
_cell_angle_gamma 90.00
loop_
_atom_site_label
_atom_site_type_symbol
_atom_site_fract_x
_atom_site_fract_y
_atom_site_fract_z
_atom_site_occupancy
Be1 Be 0.0000 0.0000 0.0000 1
Be2 Be 0.2500 0.2500 0.2500 1
Os1 Os 0.2500 0.2500 0.7500 1
Au1 Au 0.0000 0.0000 0.5000 1
```

## Properties
The value obtained for the formation energy is 11.9 kcal/mol of atoms.



Here is a relaxed BeOs2Au crystal from Alexandria. Energies are from PBE.

Cell and atoms, written as CIF:
```
data_BeOs2Au
_symmetry_space_group_name_H-M 'P 4/m m m'
_symmetry_Int_Tables_number 123
_symmetry_space_group_name_Hall '-P 4 2'
_cell_length_a 2.8279
_cell_length_b 2.8279
_cell_length_c 6.7972
_cell_angle_alpha 90.00
_cell_angle_beta 90.00
_cell_angle_gamma 90.00
loop_
_atom_site_label
_atom_site_type_symbol
_atom_site_fract_x
_atom_site_fract_y
_atom_site_fract_z
_atom_site_occupancy
Be1 Be 0.0000 0.0000 0.0000 1
Os1 Os 0.5000 0.5000 0.1901 1
Au1 Au 0.0000 0.0000 0.5000 1
```

## Properties
The value obtained for the formation energy is 7.1 kcal/mol of atoms.



Here is a relaxed BeOs2Au crystal from Alexandria. Energies are from PBE.

Cell and atoms, written as CIF:
```
data_BeOs2Au
_symmetry_space_group_name_H-M 'P 1 2/m 1'
_symmetry_Int_Tables_number 10
_cell_length_a 2.8055
_cell_length_b 3.9660
_cell_length_c 5.2289
_cell_angle_alpha 90.00
_cell_angle_beta 104.00
_cell_angle_gamma 90.00
loop_
_symmetry_equiv_pos_as_xyz
'x,y,z'
'-x,-y,-z'
'-x,y,-z'
'x,-y,z'
loop_
_atom_site_label
_atom_site_type_symbol
_atom_site_fract_x
_atom_site_fract_y
_atom_site_fract_z
_atom_site_occupancy
Be1 Be 0.0000 0.0000 0.0000 1
Os1 Os 0.3610 0.5000 0.2107 1
Au1 Au 0.0000 0.0000 0.5000 1
```

## Properties
The value obtained for the formation energy is 9.4 kcal/mol of atoms.



Here is a relaxed BeOs2Au crystal from Alexandria. Energies are from PBE.

Cell and atoms, written as CIF:
```
data_BeOs2Au
_symmetry_space_group_name_H-M 'P 4 m m'
_symmetry_Int_Tables_number 99
_cell_length_a 2.8137
_cell_length_b 2.8137
_cell_length_c 6.9029
_cell_angle_alpha 90.00
_cell_angle_beta 90.00
_cell_angle_gamma 90.00
loop_
_symmetry_equiv_pos_as_xyz
'x,y,z'
'-y,x,z'
'-x,-y,z'
'y,-x,z'
'-x,y,z'
'y,x,z'
'x,-y,z'
'-y,-x,z'
loop_
_atom_site_label
_atom_site_type_symbol
_atom_site_fract_x
_atom_site_fract_y
_atom_site_fract_z
_atom_site_occupancy
Be1 Be 0.0000 0.0000 0.0000 1
Os1 Os 0.0000 0.0000 0.4606 1
Os2 Os 0.5000 0.5000 0.2135 1
Au1 Au 0.5000 0.5000 0.7799 1
```

## Properties
The value obtained for the formation energy is 1.5 kcal/mol of atoms.



In the order shown, the computed magnetic moment values come out to 0.000 0.000 0.000 0.000 Bohr magnetons per cell.
In the order shown, the computed energy values come out to -4.975 -7.059 -6.958 -7.301 eV/atom.